(1)
## MnNi2Mo (SCAN)

Data for MnNi2Mo at its PBEsol-relaxed geometry.

Output
Space group: I4/mmm, No. 139
Total magnetization (μB/f.u.): 2.4
Electronic total energy (eV per atom): -21.440
Offset from the most stable computed form (kJ per mole of atoms): 0.00
DOS(E_F) (states/eV per cell): 4.5

a b c (Å): 3.5288 3.5288 7.4825
angles (deg): 90.00 90.00 90.00
Sites, in units of the cell vectors:
Mn  0.0000  0.0000  0.0000
Mn  0.5000  0.5000  0.5000
Ni  0.0000  0.5000  0.2500
Ni  0.0000  0.5000  0.7500
Ni  0.5000  0.0000  0.2500
Ni  0.5000  0.0000  0.7500
Mo  0.0000  0.0000  0.5000
Mo  0.5000  0.5000  0.0000

(2)
## NaHS (SCAN)

Data for NaHS at its PBEsol-relaxed geometry.

Output
Space group: R3m, No. 160
Total magnetization (μB/f.u.): 0.0
Electronic total energy (eV per atom): -6.575
DOS(E_F) (states/eV per cell): 0.0

a b c (Å): 4.4048 4.4048 8.7622
angles (deg): 90.00 90.00 120.00
Sites, in units of the cell vectors:
Na  0.0000  0.0000  0.0000
Na  0.3333  0.6667  0.6667
Na  0.6667  0.3333  0.3333
H  0.0000  0.0000  0.6464
H  0.3333  0.6667  0.3131
H  0.6667  0.3333  0.9797
S  0.0000  0.0000  0.4910
S  0.3333  0.6667  0.1577
S  0.6667  0.3333  0.8243

(3)
## LaReIN2 (SCAN)

Data for LaReIN2 at its PBEsol-relaxed geometry.

Output
Space group: P4/mmm, No. 123
Uncorrected formation energy (eV/f.u.): 0.96
Total magnetization (μB/f.u.): 0.0
Electronic total energy (eV per atom): -33.714
DOS(E_F) (states/eV per cell): 1.8

a b c (Å): 4.0993 4.0993 5.3074
angles (deg): 90.00 90.00 90.00
Sites, in units of the cell vectors:
La  0.0000  0.0000  0.0000
Re  0.5000  0.5000  0.5000
I  0.5000  0.5000  0.0000
N  0.0000  0.5000  0.5000
N  0.5000  0.0000  0.5000

(4)
## NiAgSe2 (SCAN)

Data for NiAgSe2 at its PBEsol-relaxed geometry.

Output
Space group: R-3m, No. 166
Uncorrected formation energy (eV/f.u.): 1.25
Total magnetization (μB/f.u.): 1.2
Electronic total energy (eV per atom): -21.611
Offset from the most stable computed form (kJ per mole of atoms): 49.45
DOS(E_F) (states/eV per cell): 6.9

a b c (Å): 3.7104 3.7104 22.1276
angles (deg): 90.00 90.00 120.00
Sites, in units of the cell vectors:
Ni  0.0000  0.0000  0.0000
Ni  0.3333  0.6667  0.6667
Ni  0.6667  0.3333  0.3333
Ag  0.0000  0.0000  0.5000
Ag  0.3333  0.6667  0.1667
Ag  0.6667  0.3333  0.8333
Se  0.0000  0.0000  0.0985
Se  0.0000  0.0000  0.9015
Se  0.3333  0.6667  0.5682
Se  0.3333  0.6667  0.7652
Se  0.6667  0.3333  0.2348
Se  0.6667  0.3333  0.4318

Which of these has the highest total magnetization? MnNi2Mo